1.
Here is a geometry-optimized Te2PdPb structure from Alexandria via LeMat-Bulk. Energies are from GGA-PBEsol.

abc: 3.238 3.238 33.697
angles: 90.00 90.00 120.00
Element x y z (fractional)
Te  0.000  0.000  0.076
Te  0.000  0.000  0.924
Te  0.333  0.667  0.591
Te  0.333  0.667  0.742
Te  0.667  0.333  0.258
Te  0.667  0.333  0.409
Pd  0.000  0.000  0.000
Pd  0.333  0.667  0.667
Pd  0.667  0.333  0.333
Pb  0.000  0.000  0.500
Pb  0.333  0.667  0.167
Pb  0.667  0.333  0.833

Output
**D(E_F)**: 7.38 states/eV/cell
**SG**: R-3m (166)
**ΔE_f (raw)**: 0.15 eV per atom
**Electronic total energy**: -49.2 eV for the cell shown

***

2.
Here is a geometry-optimized Te2Pd3Pb2 structure from Alexandria via LeMat-Bulk. Energies are from GGA-PBEsol.

abc: 5.905 8.527 6.349
angles: 90.00 90.00 90.00
Element x y z (fractional)
Te  0.250  0.043  0.166
Te  0.250  0.457  0.166
Te  0.750  0.543  0.834
Te  0.750  0.957  0.834
Pd  0.000  0.000  0.500
Pd  0.000  0.500  0.500
Pd  0.250  0.750  0.293
Pd  0.500  0.000  0.500
Pd  0.500  0.500  0.500
Pd  0.750  0.250  0.707
Pb  0.250  0.250  0.698
Pb  0.250  0.750  0.758
Pb  0.750  0.250  0.242
Pb  0.750  0.750  0.302

Output
**D(E_F)**: 3.54 states/eV/cell
**SG**: Pmmn (59)
**ΔE_f (raw)**: -0.37 eV per atom
**Electronic total energy**: -71.0 eV for the cell shown

***

3.
Here is a geometry-optimized TiPd3Pb structure from Alexandria via LeMat-Bulk. Energies are from GGA-PBEsol.

abc: 4.906 4.906 4.906
angles: 90.00 90.00 90.00
Element x y z (fractional)
Ti  0.000  0.000  0.000
Pd  0.000  0.500  0.500
Pd  0.500  0.000  0.500
Pd  0.500  0.500  0.000
Pb  0.500  0.500  0.500

Output
**Formation enthalpy at 0 K**: 22.58 kcal/mol of atoms
**D(E_F)**: 7.08 states/eV/cell
**SG**: Pm-3m (221)
**Electronic total energy**: -25.3 eV for the cell shown

***

4.
Here is a geometry-optimized TlPdPb structure from Alexandria via LeMat-Bulk. Energies are from GGA-PBEsol.

abc: 6.748 5.663 5.516
angles: 74.24 53.88 51.88
Element x y z (fractional)
Tl  0.166  0.834  0.166
Tl  0.834  0.166  0.834
Pd  0.250  0.250  0.250
Pd  0.750  0.750  0.750
Pb  0.338  0.338  0.662
Pb  0.662  0.662  0.338

Output
**Formation enthalpy at 0 K**: -4.17 kcal/mol of atoms
**D(E_F)**: 2.38 states/eV/cell
**SG**: Fmmm (69)
**Electronic total energy**: -26.3 eV for the cell shown

***

5.
Here is a geometry-optimized Tl4Pd15Pb structure from Alexandria via LeMat-Bulk. Energies are from GGA-PBEsol.

abc: 4.011 4.011 20.052
angles: 90.00 90.00 90.00
Element x y z (fractional)
Tl  0.000  0.000  0.100
Tl  0.000  0.000  0.299
Tl  0.000  0.000  0.701
Tl  0.000  0.000  0.900
Pd  0.000  0.500  0.000
Pd  0.000  0.500  0.199
Pd  0.000  0.500  0.399
Pd  0.000  0.500  0.601
Pd  0.000  0.500  0.801
Pd  0.500  0.000  0.000
Pd  0.500  0.000  0.199
Pd  0.500  0.000  0.399
Pd  0.500  0.000  0.601
Pd  0.500  0.000  0.801
Pd  0.500  0.500  0.100
Pd  0.500  0.500  0.300
Pd  0.500  0.500  0.500
Pd  0.500  0.500  0.700
Pd  0.500  0.500  0.900
Pb  0.000  0.000  0.500

Output
**Formation enthalpy at 0 K**: -5.09 kcal/mol of atoms
**D(E_F)**: 20.88 states/eV/cell
**SG**: P4/mmm (123)
**Electronic total energy**: -108.3 eV for the cell shown

***

6.
Here is a geometry-optimized PdPbW3 structure from Alexandria via LeMat-Bulk. Energies are from GGA-PBEsol.

abc: 4.882 4.882 4.882
angles: 90.00 90.00 90.00
Element x y z (fractional)
Pd  0.000  0.000  0.000
Pb  0.500  0.500  0.500
W  0.000  0.500  0.500
W  0.500  0.000  0.500
W  0.500  0.500  0.000

Output
**Formation enthalpy at 0 K**: 78.57 kcal/mol of atoms
**D(E_F)**: 6.44 states/eV/cell
**SG**: Pm-3m (221)
**Electronic total energy**: -34.3 eV for the cell shown

***

7.
Here is a geometry-optimized ZnPdPbW2 structure from Alexandria via LeMat-Bulk. Energies are from GGA-PBEsol.

abc: 4.792 4.792 4.580
angles: 90.00 90.00 90.00
Element x y z (fractional)
Zn  0.000  0.000  0.000
Pd  0.000  0.000  0.500
Pb  0.500  0.500  0.000
W  0.000  0.500  0.500
W  0.500  0.000  0.500

Output
**Formation enthalpy at 0 K**: 37.77 kcal/mol of atoms
**D(E_F)**: 5.29 states/eV/cell
**SG**: P4/mmm (123)
**Electronic total energy**: -31.0 eV for the cell shown

***

8.
Here is a geometry-optimized Y2Pd2Pb structure from Alexandria via LeMat-Bulk. Energies are from GGA-PBEsol.

abc: 7.738 7.738 3.616
angles: 90.00 90.00 90.00
Element x y z (fractional)
Y  0.173  0.327  0.000
Y  0.327  0.827  0.000
Y  0.673  0.173  0.000
Y  0.827  0.673  0.000
Pd  0.125  0.625  0.500
Pd  0.375  0.125  0.500
Pd  0.625  0.875  0.500
Pd  0.875  0.375  0.500
Pb  0.000  0.000  0.500
Pb  0.500  0.500  0.500

Output
**Formation enthalpy at 0 K**: -19.73 kcal/mol of atoms
**D(E_F)**: 5.11 states/eV/cell
**SG**: P4/mbm (127)
**Electronic total energy**: -67.7 eV for the cell shown

***

9.
Here is a geometry-optimized Y3PdPb structure from Alexandria via LeMat-Bulk. Energies are from GGA-PBEsol.

abc: 5.306 5.306 5.306
angles: 90.00 90.00 90.00
Element x y z (fractional)
Y  0.000  0.000  0.500
Y  0.000  0.500  0.000
Y  0.500  0.000  0.000
Pd  0.000  0.000  0.000
Pb  0.500  0.500  0.500

Output
**Formation enthalpy at 0 K**: -7.61 kcal/mol of atoms
**D(E_F)**: 6.27 states/eV/cell
**SG**: Pm-3m (221)
**Electronic total energy**: -32.1 eV for the cell shown

***

10.
Here is a geometry-optimized ZrPd2Pb2 structure from Alexandria via LeMat-Bulk. Energies are from GGA-PBEsol.

abc: 4.038 4.038 12.893
angles: 90.00 90.00 90.00
Element x y z (fractional)
Zr  0.000  0.000  0.000
Zr  0.500  0.500  0.500
Pd  0.000  0.500  0.250
Pd  0.000  0.500  0.750
Pd  0.500  0.000  0.250
Pd  0.500  0.000  0.750
Pb  0.000  0.000  0.388
Pb  0.000  0.000  0.612
Pb  0.500  0.500  0.112
Pb  0.500  0.500  0.888

Output
**Formation enthalpy at 0 K**: 0.16 kcal/mol of atoms
**D(E_F)**: 10.37 states/eV/cell
**SG**: I4/mmm (139)
**Electronic total energy**: -57.9 eV for the cell shown

***

11.
Here is a geometry-optimized Pm3Pb structure from Alexandria via LeMat-Bulk. Energies are from GGA-PBEsol.

abc: 4.865 4.865 4.865
angles: 90.00 90.00 90.00
Element x y z (fractional)
Pm  0.000  0.000  0.500
Pm  0.000  0.500  0.000
Pm  0.500  0.000  0.000
Pb  0.500  0.500  0.500

Output
**Formation enthalpy at 0 K**: -8.73 kcal/mol of atoms
**D(E_F)**: 4.97 states/eV/cell
**SG**: Pm-3m (221)
**Electronic total energy**: -20.9 eV for the cell shown

***

12.
Here is a geometry-optimized Pm2ZnPb structure from Alexandria via LeMat-Bulk. Energies are from GGA-PBEsol.

abc: 7.456 7.456 7.456
angles: 90.00 90.00 90.00
Element x y z (fractional)
Pm  0.250  0.250  0.250
Pm  0.250  0.250  0.750
Pm  0.250  0.750  0.250
Pm  0.250  0.750  0.750
Pm  0.750  0.250  0.250
Pm  0.750  0.250  0.750
Pm  0.750  0.750  0.250
Pm  0.750  0.750  0.750
Zn  0.000  0.000  0.000
Zn  0.000  0.500  0.500
Zn  0.500  0.000  0.500
Zn  0.500  0.500  0.000
Pb  0.000  0.000  0.500
Pb  0.000  0.500  0.000
Pb  0.500  0.000  0.000
Pb  0.500  0.500  0.500

Output
**Formation enthalpy at 0 K**: -9.83 kcal/mol of atoms
**D(E_F)**: 10.18 states/eV/cell
**SG**: Fm-3m (225)
**Electronic total energy**: -70.2 eV for the cell shown

***

13.
Here is a geometry-optimized Pr5Pb3 structure from Alexandria via LeMat-Bulk. Energies are from GGA-PBEsol.

abc: 9.343 9.343 6.807
angles: 90.00 90.00 120.00
Element x y z (fractional)
Pr  0.000  0.241  0.250
Pr  0.000  0.759  0.750
Pr  0.241  0.000  0.250
Pr  0.241  0.241  0.750
Pr  0.333  0.667  0.000
Pr  0.333  0.667  0.500
Pr  0.667  0.333  0.000
Pr  0.667  0.333  0.500
Pr  0.759  0.000  0.750
Pr  0.759  0.759  0.250
Pb  0.000  0.394  0.750
Pb  0.000  0.606  0.250
Pb  0.394  0.000  0.750
Pb  0.394  0.394  0.250
Pb  0.606  0.000  0.250
Pb  0.606  0.606  0.750

Output
**Formation enthalpy at 0 K**: -12.91 kcal/mol of atoms
**D(E_F)**: 18.11 states/eV/cell
**SG**: P6_3/mcm (193)
**Electronic total energy**: -84.8 eV for the cell shown

***

14.
Here is a geometry-optimized Pr3Pb structure from Alexandria via LeMat-Bulk. Energies are from GGA-PBEsol.

abc: 4.935 4.935 4.935
angles: 90.00 90.00 90.00
Element x y z (fractional)
Pr  0.000  0.000  0.500
Pr  0.000  0.500  0.000
Pr  0.500  0.000  0.000
Pb  0.500  0.500  0.500

Output
**Formation enthalpy at 0 K**: -9.02 kcal/mol of atoms
**D(E_F)**: 4.89 states/eV/cell
**SG**: Pm-3m (221)
**Electronic total energy**: -21.1 eV for the cell shown

***

15.
Here is a geometry-optimized PrPb3 structure from Alexandria via LeMat-Bulk. Energies are from GGA-PBEsol.

abc: 4.849 4.849 4.849
angles: 90.00 90.00 90.00
Element x y z (fractional)
Pr  0.000  0.000  0.000
Pb  0.000  0.500  0.500
Pb  0.500  0.000  0.500
Pb  0.500  0.500  0.000

Output
**Formation enthalpy at 0 K**: -9.78 kcal/mol of atoms
**D(E_F)**: 2.54 states/eV/cell
**SG**: Pm-3m (221)
**Electronic total energy**: -18.9 eV for the cell shown

***

16.
Here is a geometry-optimized Pr5Pb4 structure from Alexandria via LeMat-Bulk. Energies are from GGA-PBEsol.

abc: 8.349 15.968 8.511
angles: 90.00 90.00 90.00
Element x y z (fractional)
Pr  0.019  0.099  0.180
Pr  0.019  0.401  0.180
Pr  0.131  0.620  0.340
Pr  0.131  0.880  0.340
Pr  0.199  0.250  0.502
Pr  0.301  0.750  0.002
Pr  0.369  0.120  0.840
Pr  0.369  0.380  0.840
Pr  0.481  0.599  0.680
Pr  0.481  0.901  0.680
Pr  0.519  0.099  0.320
Pr  0.519  0.401  0.320
Pr  0.631  0.620  0.160
Pr  0.631  0.880  0.160
Pr  0.699  0.250  0.998
Pr  0.801  0.750  0.498
Pr  0.869  0.120  0.660
Pr  0.869  0.380  0.660
Pr  0.981  0.599  0.820
Pr  0.981  0.901  0.820
Pb  0.065  0.250  0.882
Pb  0.173  0.750  0.647
Pb  0.211  0.042  0.538
Pb  0.211  0.458  0.538
Pb  0.289  0.542  0.038
Pb  0.289  0.958  0.038
Pb  0.327  0.250  0.147
Pb  0.435  0.750  0.382
Pb  0.565  0.250  0.618
Pb  0.673  0.750  0.853
Pb  0.711  0.042  0.962
Pb  0.711  0.458  0.962
Pb  0.789  0.542  0.462
Pb  0.789  0.958  0.462
Pb  0.827  0.250  0.353
Pb  0.935  0.750  0.118

Output
**Formation enthalpy at 0 K**: -14.22 kcal/mol of atoms
**D(E_F)**: 30.46 states/eV/cell
**SG**: Pnma (62)
**Electronic total energy**: -189.9 eV for the cell shown

***

17.
Here is a geometry-optimized Pr2PbS4 structure from Alexandria via LeMat-Bulk. Energies are from GGA-PBEsol.

abc: 7.447 7.447 7.447
angles: 109.43 109.43 109.55
Element x y z (fractional)
Pr  0.008  0.125  0.383
Pr  0.375  0.992  0.117
Pr  0.742  0.625  0.617
Pr  0.875  0.258  0.883
Pb  0.250  0.750  0.500
Pb  0.500  0.500  0.000
S  0.115  0.521  0.748
S  0.117  0.024  0.752
S  0.271  0.365  0.248
S  0.479  0.226  0.593
S  0.633  0.885  0.407
S  0.635  0.883  0.907
S  0.774  0.367  0.252
S  0.976  0.729  0.093

Output
**D(E_F)**: 0.00 states/eV/cell
**SG**: I-42d (122)
**ΔE_f (raw)**: -1.65 eV per atom
**Electronic total energy**: -86.9 eV for the cell shown

***

18.
Here is a geometry-optimized Pr2PbSe4 structure from Alexandria via LeMat-Bulk. Energies are from GGA-PBEsol.

abc: 7.745 7.745 7.745
angles: 109.45 109.45 109.52
Element x y z (fractional)
Pr  0.007  0.125  0.382
Pr  0.375  0.993  0.118
Pr  0.743  0.625  0.618
Pr  0.875  0.257  0.882
Pb  0.250  0.750  0.500
Pb  0.500  0.500  0.000
Se  0.117  0.522  0.748
Se  0.119  0.024  0.752
Se  0.272  0.367  0.248
Se  0.478  0.226  0.594
Se  0.631  0.883  0.406
Se  0.633  0.881  0.906
Se  0.774  0.369  0.252
Se  0.976  0.728  0.094

Output
**D(E_F)**: 0.00 states/eV/cell
**SG**: I-42d (122)
**ΔE_f (raw)**: -1.51 eV per atom
**Electronic total energy**: -80.7 eV for the cell shown

***

19.
Here is a geometry-optimized Pr2Si2PbSe8 structure from Alexandria via LeMat-Bulk. Energies are from GGA-PBEsol.

abc: 9.194 9.194 10.545
angles: 114.17 114.17 60.87
Element x y z (fractional)
Pr  0.057  0.943  0.500
Pr  0.247  0.441  0.995
Pr  0.441  0.247  0.495
Pr  0.943  0.057  0.000
Si  0.172  0.650  0.725
Si  0.326  0.854  0.264
Si  0.650  0.172  0.225
Si  0.854  0.326  0.764
Pb  0.585  0.746  0.985
Pb  0.746  0.585  0.485
Se  0.084  0.792  0.186
Se  0.085  0.267  0.695
Se  0.099  0.580  0.479
Se  0.226  0.895  0.816
Se  0.267  0.085  0.195
Se  0.406  0.931  0.510
Se  0.409  0.422  0.797
Se  0.422  0.409  0.297
Se  0.527  0.612  0.163
Se  0.580  0.099  0.979
Se  0.612  0.527  0.663
Se  0.705  0.955  0.313
Se  0.792  0.084  0.686
Se  0.895  0.226  0.316
Se  0.931  0.406  0.010
Se  0.955  0.705  0.813

Output
**D(E_F)**: 0.00 states/eV/cell
**SG**: Cc (9)
**ΔE_f (raw)**: -1.03 eV per atom
**Electronic total energy**: -140.2 eV for the cell shown

***

20.
Here is a geometry-optimized Pt5Pb structure from Alexandria via LeMat-Bulk. Energies are from GGA-PBEsol.

abc: 4.748 2.880 14.329
angles: 90.00 90.00 90.00
Element x y z (fractional)
Pt  0.000  0.000  0.000
Pt  0.000  0.000  0.324
Pt  0.000  0.000  0.663
Pt  0.000  0.500  0.163
Pt  0.000  0.500  0.500
Pt  0.000  0.500  0.824
Pt  0.500  0.000  0.146
Pt  0.500  0.000  0.808
Pt  0.500  0.500  0.308
Pt  0.500  0.500  0.646
Pb  0.500  0.000  0.474
Pb  0.500  0.500  0.974

Output
**Formation enthalpy at 0 K**: 2.12 kcal/mol of atoms
**D(E_F)**: 10.56 states/eV/cell
**SG**: Amm2 (38)
**Electronic total energy**: -76.5 eV for the cell shown

***

21.
Here is a geometry-optimized Pt3Pb2 structure from Alexandria via LeMat-Bulk. Energies are from GGA-PBEsol.

abc: 4.453 4.453 6.009
angles: 90.00 90.00 120.00
Element x y z (fractional)
Pt  0.000  0.000  0.000
Pt  0.333  0.667  0.165
Pt  0.667  0.333  0.835
Pb  0.333  0.667  0.678
Pb  0.667  0.333  0.322

Output
**Formation enthalpy at 0 K**: -1.28 kcal/mol of atoms
**D(E_F)**: 2.30 states/eV/cell
**SG**: P-3m1 (164)
**Electronic total energy**: -29.2 eV for the cell shown

***

22.
Here is a geometry-optimized PtPb3 structure from Alexandria via LeMat-Bulk. Energies are from GGA-PBEsol.

abc: 3.641 6.436 8.899
angles: 90.00 90.00 90.00
Element x y z (fractional)
Pt  0.250  0.250  0.181
Pt  0.750  0.750  0.819
Pb  0.250  0.004  0.660
Pb  0.250  0.496  0.660
Pb  0.250  0.750  0.057
Pb  0.750  0.250  0.943
Pb  0.750  0.504  0.340
Pb  0.750  0.996  0.340

Output
**Formation enthalpy at 0 K**: -1.28 kcal/mol of atoms
**D(E_F)**: 3.72 states/eV/cell
**Relative energy among the computed polymorphs**: 0.148 eV per formula unit
**SG**: Pmmn (59)
**Electronic total energy**: -38.4 eV for the cell shown

***

23.
Here is a geometry-optimized PtPb structure from Alexandria via LeMat-Bulk. Energies are from GGA-PBEsol.

abc: 4.258 4.258 17.934
angles: 90.00 90.00 120.00
Element x y z (fractional)
Pt  0.000  0.000  0.143
Pt  0.000  0.000  0.857
Pt  0.333  0.667  0.524
Pt  0.333  0.667  0.809
Pt  0.667  0.333  0.191
Pt  0.667  0.333  0.476
Pb  0.000  0.000  0.400
Pb  0.000  0.000  0.600
Pb  0.333  0.667  0.067
Pb  0.333  0.667  0.266
Pb  0.667  0.333  0.734
Pb  0.667  0.333  0.933

Output
**Formation enthalpy at 0 K**: -0.33 kcal/mol of atoms
**D(E_F)**: 5.51 states/eV/cell
**SG**: R-3m (166)
**Electronic total energy**: -65.9 eV for the cell shown